(1)
# LiGeB2

A relaxed structure of LiGeB2 (PBE, the Alexandria database).

a b c (Å): 3.0943 3.5625 8.9207
angles (deg): 90.00 110.67 90.00
Last column: nearest neighbours and their distance in Å.
Fractional positions:
Li 0.9615 0.0000 0.7162  6 B 2.32-2.51
Li 0.9615 0.5000 0.2162  6 B 2.32-2.51
Ge 0.6306 0.0000 0.3854  3 B 2.19-2.25
Ge 0.6306 0.5000 0.8854  3 B 2.19-2.25
B 0.3595 0.0000 0.1155  2 B 1.68
B 0.3595 0.5000 0.6155  2 B 1.68
B 0.7805 0.0000 0.0373  2 B 1.68
B 0.7805 0.5000 0.5373  2 B 1.68

Results
E_tot = -38.40 eV for the cell shown

=====

(2)
# LiGeB2

A relaxed structure of LiGeB2 (PBE, the Alexandria database).

a b c (Å): 3.3792 3.3792 9.1850
angles (deg): 79.40 79.40 90.00
Last column: nearest neighbours and their distance in Å.
Fractional positions:
Ge 0.0000 0.0000 0.0000  4 B 2.37, 4 Li 2.39
Ge 0.7500 0.2500 0.5000  4 B 2.37, 4 Li 2.39
B 0.8750 0.1250 0.2500  2 B 1.69
B 0.8750 0.6250 0.2500  2 B 1.69
B 0.3750 0.1250 0.7500  2 B 1.69
B 0.8750 0.1250 0.7500  2 B 1.69
Li 0.5000 0.5000 0.0000  4 Ge 2.39
Li 0.2500 0.7500 0.5000  4 Ge 2.39

Results
E_tot = -34.47 eV for the cell shown

=====

(3)
# LiGeB2

A relaxed structure of LiGeB2 (PBE, the Alexandria database).

a b c (Å): 3.4269 4.1735 4.8331
angles (deg): 80.41 72.67 69.03
Last column: nearest neighbours and their distance in Å.
Fractional positions:
Li 0.8318 0.6583 0.8440  5 B 2.36-2.51
Ge 0.4259 0.0949 0.2922  3 B 1.96-2.06
B 0.2098 0.0855 0.7173  1 B 1.56
B 0.0284 0.0736 0.0540  1 B 1.56

Results
E_tot = -18.26 eV for the cell shown

=====

(4)
# LiGe3B

A relaxed structure of LiGe3B (PBE, the Alexandria database).

a b c (Å): 4.4859 4.4859 4.4859
angles (deg): 90.00 90.00 90.00
Last column: nearest neighbours and their distance in Å.
Fractional positions:
Ge 0.0000 0.5000 0.0000  2 Li 2.24
Ge 0.0000 0.0000 0.5000  2 Li 2.24
Ge 0.5000 0.0000 0.0000  2 Li 2.24
B 0.5000 0.5000 0.5000  12 Ge 3.17
Li 0.0000 0.0000 0.0000  6 Ge 2.24

Results
E_tot = -16.35 eV for the cell shown
Offset from the most stable computed form = 0.685 eV per atom

=====

(5)
# LiGe2B2

A relaxed structure of LiGe2B2 (PBE, the Alexandria database).

a b c (Å): 3.9464 3.9464 4.9600
angles (deg): 66.56 66.56 90.00
Last column: nearest neighbours and their distance in Å.
Fractional positions:
Ge 0.7500 0.2500 0.5000  4 B 2.31
Ge 0.2500 0.7500 0.5000  4 B 2.31
B 0.3953 0.3953 0.2093  1 B 1.72
B 0.6047 0.6047 0.7907  1 B 1.72
Li 0.0000 0.0000 0.0000  8 Ge 2.85, 8 B 2.92

Results
E_tot = -22.86 eV for the cell shown
Offset from the most stable computed form = 0.000 eV per atom

=====

(6)
# LiGeB2

A relaxed structure of LiGeB2 (PBE, the Alexandria database).

a b c (Å): 3.4451 3.1264 10.3158
angles (deg): 90.00 90.00 90.00
Last column: nearest neighbours and their distance in Å.
Fractional positions:
Li 0.5000 0.0000 0.3034  2 B 2.32
Li 0.5000 0.5000 0.8034  2 B 2.32
Ge 0.5000 0.0000 0.0235  2 B 2.18
Ge 0.5000 0.5000 0.5235  2 B 2.18
B 0.0000 0.0000 0.6727  2 B 1.58
B 0.0000 0.5000 0.1727  2 B 1.58
B 0.0000 0.0000 0.1523  2 B 1.58
B 0.0000 0.5000 0.6523  2 B 1.58

Results
E_tot = -38.41 eV for the cell shown